Lu4NiAsC2 | the Open Quantum Materials Database | PBE | optimized geometry; raw total energy = -50.973 eV/f.u.; volume = 18.1 Å³/atom
1.0
-2.057 -2.876 -0.205
1.822 1.080 -2.839
10.290 -7.624 3.704
Lu Ni C As
4 1 2 1
Cartesian
7.163 -5.154 0.427
4.185 -2.947 -0.645
0.874 -2.771 -0.493
7.888 -7.968 2.032
4.381 -5.369 0.769
7.652 -5.670 2.755
2.637 -1.954 0.949
0.529 -0.239 -1.961